Entry 1:
Cs3AlHg | GGA-PBE | relaxed

a b c (Å): 7.357 7.357 7.357
angles (deg): 90.00 90.00 90.00
Atoms (fractional coordinates):
Cs1 0.000 0.500 0.000
Cs2 0.000 0.000 0.500
Cs3 0.500 0.000 0.000
Hg1 0.500 0.500 0.500
Al1 0.000 0.000 0.000

Energy of formation from the pure elements = 0.27 eV per atom



Entry 2:
Rb2LaPmO4 | GGA-PBE | relaxed

a b c (Å): 3.694 6.397 6.936
angles (deg): 107.91 90.00 90.00
Atoms (fractional coordinates):
Rb1 0.500 0.000 0.500
Rb2 0.000 0.500 0.500
La1 0.500 0.500 0.000
Pm1 0.000 0.000 0.000
O1 0.500 0.222 0.180
O2 0.500 0.778 0.820
O3 0.000 0.268 0.820
O4 0.000 0.732 0.180

Formation energy from raw total energies = -20.807 eV per formula unit



Entry 3:
Pa2Cu3Si4 | GGA-PBE | relaxed

a b c (Å): 5.551 7.322 7.732
angles (deg): 90.00 111.04 90.00
Atoms (fractional coordinates):
Pa1 0.112 0.593 0.225
Pa2 0.888 0.407 0.775
Pa3 0.388 0.093 0.775
Pa4 0.612 0.907 0.225
Cu1 0.000 0.000 0.000
Cu2 0.500 0.500 0.000
Cu3 0.533 0.750 0.566
Cu4 0.967 0.250 0.434
Cu5 0.467 0.250 0.434
Cu6 0.033 0.750 0.566
Si1 0.698 0.750 0.895
Si2 0.802 0.250 0.105
Si3 0.302 0.250 0.105
Si4 0.198 0.750 0.895
Si5 0.183 0.967 0.366
Si6 0.817 0.033 0.634
Si7 0.317 0.467 0.634
Si8 0.683 0.533 0.366

Formation energy from raw total energies = -3.194 eV per formula unit



Entry 4:
DyY3Er3Se8 | GGA-PBE | relaxed

a b c (Å): 8.092 8.093 8.101
angles (deg): 119.97 90.00 120.00
Atoms (fractional coordinates):
Dy1 0.000 0.000 0.500
Y1 0.000 0.000 0.000
Y2 0.000 0.500 0.000
Y3 0.500 0.500 0.000
Er1 0.500 0.000 0.500
Er2 0.500 0.500 0.500
Er3 0.000 0.500 0.500
Se1 0.251 0.503 0.254
Se2 0.749 0.497 0.746
Se3 0.746 0.492 0.249
Se4 0.254 0.508 0.751
Se5 0.746 0.003 0.249
Se6 0.254 0.997 0.751
Se7 0.257 0.003 0.249
Se8 0.743 0.997 0.751

Formation energy from raw total energies = -27.334 eV per formula unit



Entry 5:
TiAgC2 | GGA-PBE | relaxed

a b c (Å): 4.718 4.718 6.082
angles (deg): 67.18 67.18 90.00
Atoms (fractional coordinates):
C1 0.602 0.125 0.250
C2 0.148 0.625 0.250
C3 0.375 0.398 0.750
C4 0.875 0.852 0.750
Ag1 0.000 0.000 0.000
Ag2 0.750 0.250 0.500
Ti1 0.500 0.500 0.000
Ti2 0.250 0.750 0.500

Energy of formation from the pure elements = 1.15 eV per atom



Entry 6:
Li3IrO4 | GGA-PBE | relaxed

a b c (Å): 4.126 5.889 7.154
angles (deg): 90.00 90.00 90.00
Atoms (fractional coordinates):
Li1 0.564 0.825 0.000
Li2 0.064 0.662 0.247
Li3 0.564 0.338 0.253
Li4 0.064 0.175 0.500
Li5 0.564 0.338 0.747
Li6 0.064 0.662 0.753
Ir1 0.064 0.158 0.000
Ir2 0.564 0.842 0.500
O1 0.064 0.839 0.000
O2 0.564 0.207 0.000
O3 0.064 0.314 0.227
O4 0.564 0.686 0.273
O5 0.064 0.793 0.500
O6 0.564 0.161 0.500
O7 0.564 0.686 0.727
O8 0.064 0.314 0.773

Formation energy from raw total energies = -10.806 eV per formula unit



Respective E_tot values: -0.03877, -0.24003, -0.22934, -0.22758, -0.22579, -0.20782 hartree per atom.